# 1
PBEsol Na2Mg3H10S3O18, relaxed; symmetry = No. 36; magnetic moment = 0.000 μB/atom; total energy = -5.749 eV/atom; density of states at the Fermi level = 0.00 states/eV/cell
1.0
-4.1155 5.1114 -2.8832
-6.5254 -1.1916 7.2021
6.7403 4.2422 6.8090
Na Mg H S O
4 6 20 6 36
direct
0.7908 0.2764 0.5347 Na
0.2560 0.2764 0.4653 Na
0.2092 0.7764 0.4653 Na
0.7440 0.7764 0.5347 Na
0.7859 0.4876 0.0000 Mg
0.2141 0.9876 0.0000 Mg
0.5046 0.7812 0.8411 Mg
0.6634 0.7812 0.1589 Mg
0.4954 0.2812 0.1589 Mg
0.3366 0.2812 0.8411 Mg
0.8463 0.7299 0.0000 H
0.1537 0.2299 0.0000 H
0.5557 0.9925 0.0000 H
0.4443 0.4925 0.0000 H
0.0416 0.8542 0.1806 H
0.8610 0.8542 0.8194 H
0.9584 0.3542 0.8194 H
0.1390 0.3542 0.1806 H
0.0198 0.4558 0.7267 H
0.2931 0.4558 0.2733 H
0.9802 0.9558 0.2733 H
0.7069 0.9558 0.7267 H
0.9730 0.0609 0.4267 H
0.5463 0.0609 0.5733 H
0.0270 0.5609 0.5733 H
0.4537 0.5609 0.4267 H
0.8889 0.1411 0.2808 H
0.6081 0.1411 0.7192 H
0.1111 0.6411 0.7192 H
0.3919 0.6411 0.2808 H
0.5293 0.4909 0.6792 S
0.8501 0.4909 0.3208 S
0.4707 0.9909 0.3208 S
0.1499 0.9909 0.6792 S
0.7921 0.1678 0.0000 S
0.2079 0.6678 0.0000 S
0.7136 0.4749 0.7966 O
0.9170 0.4749 0.2034 O
0.2864 0.9749 0.2034 O
0.0830 0.9749 0.7966 O
0.3755 0.3928 0.6883 O
0.6872 0.3928 0.3117 O
0.6245 0.8928 0.3117 O
0.3128 0.8928 0.6883 O
0.5696 0.4590 0.5525 O
0.0171 0.4590 0.4475 O
0.4304 0.9590 0.4475 O
0.9829 0.9590 0.5525 O
0.4538 0.6331 0.6743 O
0.7795 0.6331 0.3257 O
0.5462 0.1331 0.3257 O
0.2205 0.1331 0.6743 O
0.9122 0.0473 0.0000 O
0.0878 0.5473 0.0000 O
0.6066 0.1688 0.8786 O
0.7279 0.1688 0.1214 O
0.3934 0.6688 0.1214 O
0.2721 0.6688 0.8786 O
0.9124 0.2931 0.0000 O
0.0876 0.7931 0.0000 O
0.7206 0.6882 0.0000 O
0.2794 0.1882 0.0000 O
0.5168 0.4080 0.0000 O
0.4832 0.9080 0.0000 O
0.7198 0.8592 0.7620 O
0.9578 0.8592 0.2380 O
0.2802 0.3592 0.2380 O
0.0422 0.3592 0.7620 O
0.9898 0.6126 0.6438 O
0.3460 0.6126 0.3562 O
0.0102 0.1126 0.3562 O
0.6540 0.1126 0.6438 O

***

# 2
PBEsol MnFe2Br, relaxed; distance to the lowest polymorph of the same formula = 0 meV per atom; symmetry = No. 65; magnetic moment = 2.197 μB/atom; energy relative to the elements, uncorrected = 0.75 eV/atom; density of states at the Fermi level = 3.54 states/eV/cell
1.0
3.0860 0.0000 0.0000
0.0000 4.2788 0.2721
0.0000 -1.3855 4.0575
Br Fe Mn
1 2 1
direct
0.5000 0.5000 0.5000 Br
0.0000 0.5000 0.0000 Fe
0.0000 0.0000 0.5000 Fe
0.5000 0.0000 0.0000 Mn

***

# 3
PBEsol BaSrSb2, relaxed; distance to the lowest polymorph of the same formula = 43 meV per atom; symmetry = No. 65; magnetic moment = 0.000 μB/atom; energy relative to the elements, uncorrected = -0.87 eV/atom; density of states at the Fermi level = 2.04 states/eV/cell
1.0
-0.6512 0.2801 3.3934
5.9978 -0.8806 1.2236
0.9523 6.1022 -0.3210
Ba Sb Sr
1 2 1
direct
0.5000 0.5000 0.5000 Ba
0.0000 0.5000 0.0000 Sb
0.0000 0.0000 0.5000 Sb
0.5000 0.0000 0.0000 Sr

***

# 4
PBEsol Ta3CrAu, relaxed; symmetry = No. 221; magnetic moment = 0.000 μB/atom; total energy = -9.399 eV/atom; density of states at the Fermi level = 4.81 states/eV/cell
1.0
-3.7896 1.9845 1.4682
0.3200 -2.2723 3.8973
2.4477 3.3695 1.7636
Cr Au Ta
1 1 3
direct
0.0000 0.0000 0.0000 Cr
0.5000 0.5000 0.5000 Au
0.0000 0.5000 0.0000 Ta
0.0000 0.0000 0.5000 Ta
0.5000 0.0000 0.0000 Ta

***

# 5
PBEsol Li4TaAu, relaxed; symmetry = No. 216; magnetic moment = 0.070 μB/atom; total energy = -3.769 eV/atom; density of states at the Fermi level = 3.07 states/eV/cell
1.0
4.8795 0.0000 0.0000
2.4397 4.2258 0.0000
2.4397 1.4086 3.9841
Au Li Ta
1 4 1
direct
0.0000 0.0000 0.0000 Au
0.3736 0.3736 0.3736 Li
0.3736 0.3736 0.8793 Li
0.8793 0.3736 0.3736 Li
0.3736 0.8793 0.3736 Li
0.7500 0.7500 0.7500 Ta

***

# 6
PBEsol Na4EuSi2Te6, relaxed; symmetry = No. 5; magnetic moment = 0.539 μB/atom; energy relative to the elements, uncorrected = -0.75 eV/atom; density of states at the Fermi level = 9.97 states/eV/cell
1.0
7.5628 -0.0013 0.0023
-3.7709 6.5556 0.0023
-1.2640 -2.1849 7.9827
Na Eu Si Te
4 1 2 6
direct
0.3324 0.6676 0.0000 Na
0.6676 0.3324 0.0000 Na
0.0001 0.9999 0.0000 Na
0.1666 0.8334 0.5000 Na
0.8334 0.1666 0.5000 Eu
0.5481 0.5482 0.6473 Si
0.4518 0.4519 0.3527 Si
0.2620 0.2640 0.7426 Te
0.7360 0.7380 0.2574 Te
0.5824 0.8990 0.7432 Te
0.8969 0.5783 0.7440 Te
0.4217 0.1031 0.2560 Te
0.1010 0.4176 0.2568 Te

***

# 7
PBEsol CuBSb3, relaxed; symmetry = No. 221; magnetic moment = 0.000 μB/atom; energy relative to the elements, uncorrected = 0.90 eV/atom; density of states at the Fermi level = 2.92 states/eV/cell
1.0
-3.8537 2.1365 1.6604
1.5925 -0.5451 4.3976
2.1875 4.1606 -0.2765
Sb B Cu
3 1 1
direct
0.0000 0.5000 0.0000 Sb
0.0000 0.0000 0.5000 Sb
0.5000 0.0000 0.0000 Sb
0.0000 0.0000 0.0000 B
0.5000 0.5000 0.5000 Cu

***

# 8
PBEsol CaYBeTe2, relaxed; symmetry = No. 123; magnetic moment = 0.000 μB/atom; energy relative to the elements, uncorrected = 0.83 eV/atom; density of states at the Fermi level = 4.89 states/eV/cell
1.0
5.5877 0.0000 0.0000
0.0000 5.5877 0.0000
0.0000 0.0000 5.8889
Y Be Ca Te
1 1 1 2
direct
0.0000 0.0000 0.5000 Y
0.5000 0.5000 0.5000 Be
0.0000 0.0000 0.0000 Ca
0.0000 0.5000 0.0000 Te
0.5000 0.0000 0.0000 Te

***

# 9
PBEsol DyCuTe2, relaxed; symmetry = No. 10; magnetic moment = 0.000 μB/atom; energy relative to the elements, uncorrected = -0.87 eV/atom; density of states at the Fermi level = 0.29 states/eV/cell
1.0
4.2638 0.0000 0.0000
0.0000 6.7534 0.0355
0.0000 -0.0386 7.3444
Dy Cu Te
2 2 4
direct
0.0000 0.0000 0.0000 Dy
0.5000 0.0000 0.5000 Dy
0.5000 0.6617 0.1657 Cu
0.5000 0.3383 0.8343 Cu
0.5000 0.2670 0.1749 Te
0.0000 0.2700 0.6555 Te
0.0000 0.7300 0.3445 Te
0.5000 0.7330 0.8251 Te

***

# 10
PBEsol MgAl2Co, relaxed; symmetry = No. 139; magnetic moment = 0.000 μB/atom; total energy = -4.542 eV/atom; density of states at the Fermi level = 1.33 states/eV/cell
1.0
3.9246 0.0000 0.0000
0.0000 3.9246 0.0000
-1.9623 -1.9623 3.6643
Mg Co Al
1 1 2
direct
0.0000 0.0000 0.0000 Mg
0.5000 0.5000 0.0000 Co
0.7500 0.2500 0.5000 Al
0.2500 0.7500 0.5000 Al

***

# 11
PBEsol Hg2MoIr, relaxed; distance to the lowest polymorph of the same formula = 0 meV per atom; symmetry = No. 44; magnetic moment = 0.000 μB/atom; density of states at the Fermi level = 2.13 states/eV/cell
1.0
2.8216 0.0000 0.0000
0.0000 4.8441 0.0000
-1.4108 -2.4221 5.2740
Hg Ir Mo
2 1 1
direct
0.9793 0.9793 0.9586 Hg
0.7727 0.2727 0.5453 Hg
0.5257 0.5257 0.0514 Ir
0.2224 0.7224 0.4448 Mo

***

# 12
PBEsol Ag3F8, relaxed; symmetry = No. 14; magnetic moment = 0.090 μB/atom; energy relative to the elements, uncorrected = -1.06 eV/atom; density of states at the Fermi level = 3.01 states/eV/cell
1.0
-2.3413 3.6871 -2.2618
-4.4908 -1.8341 2.3803
1.9689 6.6925 8.8716
Ag F
6 16
direct
0.2596 0.0051 0.3115 Ag
0.7404 0.9949 0.6885 Ag
0.2404 0.4949 0.8115 Ag
0.7596 0.5051 0.1885 Ag
0.5000 0.0000 0.0000 Ag
0.0000 0.5000 0.5000 Ag
0.2215 0.1857 0.9030 F
0.2296 0.7917 0.7180 F
0.7785 0.8143 0.0970 F
0.7215 0.6857 0.5970 F
0.7573 0.1753 0.5379 F
0.7793 0.6881 0.3351 F
0.2207 0.3119 0.6649 F
0.7704 0.2083 0.2820 F
0.2793 0.1881 0.1649 F
0.7296 0.2917 0.7820 F
0.7427 0.3247 0.0379 F
0.2427 0.8247 0.4621 F
0.2704 0.7083 0.2180 F
0.2573 0.6753 0.9621 F
0.2785 0.3143 0.4030 F
0.7207 0.8119 0.8351 F

***

# 13
PBEsol ScPb3, relaxed; symmetry = No. 187; magnetic moment = 0.000 μB/atom; total energy = -4.738 eV/atom; density of states at the Fermi level = 3.36 states/eV/cell
1.0
-0.8379 3.3056 0.5560
-0.0829 -1.2877 -3.2052
-9.9883 -2.7620 1.3681
Pb Sc
3 1
direct
0.0000 0.0000 0.2683 Pb
0.0000 0.0000 0.7317 Pb
0.3333 0.6667 0.0000 Pb
0.3333 0.6667 0.5000 Sc

***

# 14
PBEsol SrHgSb2, relaxed; symmetry = No. 99; magnetic moment = 0.000 μB/atom; energy relative to the elements, uncorrected = -0.49 eV/atom; density of states at the Fermi level = 2.07 states/eV/cell
1.0
4.6144 0.0000 0.0000
0.0000 4.6212 0.0720
0.0000 -0.0814 5.1625
Sb Hg Sr
2 1 1
direct
0.0000 0.1251 0.1120 Sb
0.5000 0.6251 0.1116 Sb
0.5000 0.1249 0.6739 Hg
0.0000 0.6250 0.6026 Sr

***

# 15
PBEsol Mg2SnGeO, relaxed; symmetry = No. 123; magnetic moment = 0.000 μB/atom; energy relative to the elements, uncorrected = 0.43 eV/atom; density of states at the Fermi level = 1.32 states/eV/cell
1.0
4.8274 0.0000 0.0000
0.0000 4.8274 0.0000
0.0000 0.0000 5.3019
Mg Ge Sn O
2 1 1 1
direct
0.0000 0.5000 0.0000 Mg
0.5000 0.0000 0.0000 Mg
0.0000 0.0000 0.0000 Ge
0.0000 0.0000 0.5000 Sn
0.5000 0.5000 0.5000 O

***

# 16
PBEsol Sc2Mo, relaxed; distance to the lowest polymorph of the same formula = 163 meV per atom; symmetry = No. 164; magnetic moment = 0.000 μB/atom; density of states at the Fermi level = 4.71 states/eV/cell
1.0
2.9525 0.0000 0.0000
0.0000 4.7148 0.0000
0.0000 -2.3574 4.0831
Mo Sc
1 2
direct
0.0000 0.0000 0.0000 Mo
0.7233 0.3333 0.6667 Sc
0.2767 0.6667 0.3333 Sc

***

# 17
PBEsol FeRe2Rh, relaxed; distance to the lowest polymorph of the same formula = 0 meV per atom; symmetry = No. 99; magnetic moment = 0.104 μB/atom; density of states at the Fermi level = 3.31 states/eV/cell
1.0
-1.3479 -1.8835 -1.3306
-0.6787 -1.1489 2.3139
-6.1453 4.1983 0.2822
Fe Re Rh
1 2 1
direct
0.5000 0.5000 0.7569 Fe
0.0000 0.0000 0.9756 Re
0.5000 0.5000 0.2594 Re
0.0000 0.0000 0.5082 Rh

***

# 18
PBEsol TaRh3S, relaxed; symmetry = No. 221; magnetic moment = 0.000 μB/atom; energy relative to the elements, uncorrected = 1.36 eV/atom; density of states at the Fermi level = 6.18 states/eV/cell
1.0
-0.8870 -1.1615 -4.4159
-1.0838 -4.3163 1.3530
-4.4356 1.2870 0.5524
S Rh Ta
1 3 1
direct
0.5000 0.5000 0.5000 S
0.0000 0.5000 0.0000 Rh
0.0000 0.0000 0.5000 Rh
0.5000 0.0000 0.0000 Rh
0.0000 0.0000 0.0000 Ta

***

# 19
PBEsol YMoAu2, relaxed; distance to the lowest polymorph of the same formula = 0 meV per atom; symmetry = No. 47; magnetic moment = 0.003 μB/atom; density of states at the Fermi level = 4.10 states/eV/cell
1.0
2.9873 0.0000 0.0000
0.0000 4.0058 0.0000
0.0000 0.0000 6.1785
Au Mo Y
2 1 1
direct
0.0000 0.0000 0.7770 Au
0.0000 0.0000 0.2230 Au
0.5000 0.5000 0.0000 Mo
0.5000 0.5000 0.5000 Y

***

# 20
PBEsol K2RbYV2O8, relaxed; symmetry = No. 164; magnetic moment = 0.000 μB/atom; energy relative to the elements, uncorrected = -2.59 eV/atom; density of states at the Fermi level = 0.00 states/eV/cell
1.0
-4.5668 -0.8056 3.6773
1.1320 -3.9823 -4.2293
4.5263 -3.7993 4.7889
K Rb Y V O
2 1 1 2 8
direct
0.6667 0.3333 0.3106 K
0.3333 0.6667 0.6894 K
0.0000 0.0000 0.0000 Rb
0.0000 0.0000 0.5000 Y
0.6667 0.3333 0.7547 V
0.3333 0.6667 0.2453 V
0.6667 0.3333 0.9724 O
0.3333 0.6667 0.0276 O
0.8253 0.6505 0.6746 O
0.1747 0.3495 0.3254 O
0.8253 0.1747 0.6746 O
0.1747 0.8253 0.3254 O
0.3495 0.1747 0.6746 O
0.6505 0.8253 0.3254 O

***

# 21
PBEsol SbBr2N, relaxed; distance to the lowest polymorph of the same formula = 0 meV per atom; symmetry = No. 225; magnetic moment = 0.516 μB/atom; energy relative to the elements, uncorrected = 1.06 eV/atom; density of states at the Fermi level = 1.31 states/eV/cell
1.0
4.8903 0.0000 0.0000
2.4452 4.2351 0.0000
2.4452 1.4117 3.9929
Sb Br N
1 2 1
direct
0.5000 0.5000 0.5000 Sb
0.2500 0.2500 0.2500 Br
0.7500 0.7500 0.7500 Br
0.0000 0.0000 0.0000 N

***

# 22
PBEsol CuHgBiAs2, relaxed; symmetry = No. 123; magnetic moment = 0.000 μB/atom; total energy = -2.849 eV/atom; density of states at the Fermi level = 5.23 states/eV/cell
1.0
4.7986 0.0000 0.0000
0.0000 5.4952 0.0000
0.0000 0.0000 5.4952
As Bi Cu Hg
2 1 1 1
direct
0.0000 0.0000 0.5000 As
0.0000 0.5000 0.0000 As
0.0000 0.0000 0.0000 Bi
0.5000 0.0000 0.0000 Cu
0.5000 0.5000 0.5000 Hg

***

# 23
PBEsol LaAs2CSe, relaxed; distance to the lowest polymorph of the same formula = 0 meV per atom; symmetry = No. 123; magnetic moment = 0.000 μB/atom; energy relative to the elements, uncorrected = 0.13 eV/atom; density of states at the Fermi level = 3.19 states/eV/cell
1.0
-3.8880 1.6639 -1.5452
-1.9811 -3.9830 0.6956
-1.1235 1.2963 4.2228
As C Se La
2 1 1 1
direct
0.0000 0.5000 0.0000 As
0.5000 0.0000 0.0000 As
0.0000 0.0000 0.0000 C
0.0000 0.0000 0.5000 Se
0.5000 0.5000 0.5000 La